(1)
BaLaMn2Pb | PBE | optimized geometry

abc: 4.8983 5.8317 4.8983
angles: 90.00 90.00 90.00
Positions (direct):
Pb 0.5000 0.5000 0.5000
Mn 0.0000 0.0000 0.5000
Mn 0.5000 0.0000 0.0000
Ba 0.0000 0.0000 0.0000
La 0.0000 0.5000 0.0000

Crystal system = tetragonal
Formation enthalpy at 0 K = 174.65 kJ/mol of atoms
Symmetry = P4/mmm
Total magnetic moment = 0.09 μB/atom

(2)
BaLaMnRu2 | PBE | optimized geometry

abc: 5.0960 5.0030 5.0960
angles: 90.00 90.00 90.00
Positions (direct):
Ru 0.0000 0.0000 0.5000
Ru 0.5000 0.0000 0.0000
Mn 0.0000 0.5000 0.0000
Ba 0.0000 0.0000 0.0000
La 0.5000 0.5000 0.5000

Crystal system = tetragonal
Formation enthalpy at 0 K = 154.11 kJ/mol of atoms
Symmetry = P4/mmm
Total magnetic moment = 0.83 μB/atom

(3)
BaLaMnS4 | PBE | optimized geometry

abc: 6.5772 6.6313 8.2823
angles: 90.00 113.39 90.00
Positions (direct):
Ba 0.6061 0.7500 0.2122
Ba 0.3939 0.2500 0.7878
La 0.1184 0.2500 0.2368
La 0.8816 0.7500 0.7632
Mn 0.2525 0.7500 0.5050
Mn 0.7475 0.2500 0.4950
S 0.9285 0.2500 0.8571
S 0.4081 0.7500 0.8163
S 0.0715 0.7500 0.1429
S 0.5919 0.2500 0.1837
S 0.5000 0.5000 0.5000
S 0.0000 0.0000 0.5000
S 0.5000 0.0000 0.5000
S 0.0000 0.5000 0.5000

Crystal system = orthorhombic
Formation energy (no corrections) = -1.5463 eV/atom
Symmetry = Cmcm
Total magnetic moment = 0.56 μB/atom

(4)
BaLaSc2Mn | PBE | optimized geometry

abc: 5.4553 5.3087 5.4553
angles: 90.00 90.00 90.00
Positions (direct):
Sc 0.0000 0.0000 0.5000
Sc 0.5000 0.0000 0.0000
Mn 0.0000 0.5000 0.0000
Ba 0.0000 0.0000 0.0000
La 0.5000 0.5000 0.5000

Crystal system = tetragonal
Formation enthalpy at 0 K = 105.99 kJ/mol of atoms
Symmetry = P4/mmm
Total magnetic moment = 0.73 μB/atom

(5)
Ba2LaMnSe5 | PBE | optimized geometry

abc: 4.4184 9.7561 13.5343
angles: 90.00 90.00 103.09
Positions (direct):
Ba 0.8771 0.7542 0.8435
Ba 0.1230 0.2460 0.6950
Ba 0.1229 0.2458 0.3435
Ba 0.8770 0.7540 0.1950
La 0.8024 0.6048 0.5340
La 0.1976 0.3952 0.0340
Mn 0.5574 0.1148 0.9183
Mn 0.4426 0.8852 0.4183
Se 0.3497 0.6995 0.0191
Se 0.6842 0.3685 0.8761
Se 0.4978 0.9956 0.7646
Se 0.3038 0.6077 0.6807
Se 0.9661 0.9322 0.4926
Se 0.6503 0.3005 0.5191
Se 0.3158 0.6315 0.3761
Se 0.5022 0.0044 0.2646
Se 0.6962 0.3923 0.1807
Se 0.0339 0.0678 0.9926

Crystal system = orthorhombic
Formation energy (no corrections) = -1.5810 eV/atom
Symmetry = Cmc2_1
Total magnetic moment = 0.44 μB/atom

(6)
BaSrLaMn2 | PBE | optimized geometry

abc: 5.1107 5.7266 5.1107
angles: 90.00 90.00 90.00
Positions (direct):
Sr 0.0000 0.0000 0.0000
Mn 0.0000 0.0000 0.5000
Mn 0.5000 0.0000 0.0000
Ba 0.0000 0.5000 0.0000
La 0.5000 0.5000 0.5000

Crystal system = tetragonal
Formation enthalpy at 0 K = 181.51 kJ/mol of atoms
Symmetry = P4/mmm
Total magnetic moment = 0.01 μB/atom

(7)
Ba2SrLaMn | PBE | optimized geometry

abc: 6.3243 5.2557 6.3243
angles: 90.00 90.00 90.00
Positions (direct):
Sr 0.5000 0.5000 0.5000
Mn 0.0000 0.0000 0.0000
Ba 0.0000 0.0000 0.5000
Ba 0.5000 0.0000 0.0000
La 0.0000 0.5000 0.0000

Crystal system = tetragonal
Formation enthalpy at 0 K = 43.17 kJ/mol of atoms
Symmetry = P4/mmm
Total magnetic moment = 0.00 μB/atom

(8)
BaLaMnTe4 | PBE | optimized geometry

abc: 7.9362 6.5793 9.7561
angles: 90.00 107.23 90.00
Positions (direct):
Ba 0.7421 0.7500 0.9371
Ba 0.2579 0.2500 0.0629
La 0.7371 0.7500 0.4395
La 0.2629 0.2500 0.5605
Mn 0.2593 0.7500 0.3195
Mn 0.7407 0.2500 0.6805
Te 0.0152 0.5083 0.7306
Te 0.9848 0.0083 0.2694
Te 0.9848 0.4917 0.2694
Te 0.0152 0.9917 0.7306
Te 0.4341 0.7500 0.1276
Te 0.5659 0.2500 0.8724
Te 0.4251 0.7500 0.5979
Te 0.5749 0.2500 0.4021

Crystal system = monoclinic
Formation energy (no corrections) = -1.1296 eV/atom
Symmetry = P2_1/m
Total magnetic moment = 0.69 μB/atom

(9)
BaLaY2Mn | PBE | optimized geometry

abc: 5.5954 5.5954 5.5120
angles: 90.00 90.00 90.00
Positions (direct):
Y 0.0000 0.5000 0.0000
Y 0.5000 0.0000 0.0000
Mn 0.0000 0.0000 0.0000
Ba 0.5000 0.5000 0.5000
La 0.0000 0.0000 0.5000

Crystal system = tetragonal
Formation enthalpy at 0 K = 21.13 kJ/mol of atoms
Symmetry = P4/mmm
Total magnetic moment = 0.22 μB/atom

(10)
Ba2LaMo | PBE | optimized geometry

abc: 12.2153 12.2153 9.0214
angles: 47.39 47.39 90.00
Positions (direct):
Mo 0.5000 0.5000 0.0000
Mo 0.2500 0.7500 0.5000
Ba 0.4660 0.1250 0.2500
Ba 0.2840 0.6250 0.2500
Ba 0.3750 0.5340 0.7500
Ba 0.8750 0.7160 0.7500
La 0.0000 0.0000 0.0000
La 0.7500 0.2500 0.5000

Crystal system = tetragonal
Formation enthalpy at 0 K = 76.14 kJ/mol of atoms
Symmetry = I-42d
Total magnetic moment = 0.17 μB/atom
Relative energy among the computed polymorphs = 84.6 kJ/mol of formula units

(11)
BaLaMo4 | PBE | optimized geometry

abc: 5.6743 5.6743 5.6743
angles: 60.00 60.00 60.00
Positions (direct):
Ba 0.7500 0.7500 0.7500
La 0.0000 0.0000 0.0000
Mo 0.8758 0.3747 0.3747
Mo 0.3747 0.3747 0.8758
Mo 0.3747 0.8758 0.3747
Mo 0.3747 0.3747 0.3747

Crystal system = cubic
Formation enthalpy at 0 K = 64.50 kJ/mol of atoms
Symmetry = F-43m
Total magnetic moment = 0.00 μB/atom

(12)
BaLaMo | PBE | optimized geometry

abc: 3.7045 3.7045 8.1758
angles: 90.00 90.00 120.00
Positions (direct):
Ba 0.0000 0.0000 0.9478
La 0.6667 0.3333 0.4063
Mo 0.3333 0.6667 0.6458

Crystal system = trigonal
Formation enthalpy at 0 K = 81.36 kJ/mol of atoms
Symmetry = P3m1
Total magnetic moment = 0.00 μB/atom
Relative energy among the computed polymorphs = 39.4 kJ/mol of formula units

(13)
Ba2LaMo | PBE | optimized geometry

abc: 11.8735 11.8735 11.8735
angles: 18.84 18.84 18.84
Positions (direct):
Ba 0.0218 0.0218 0.0218
Ba 0.2427 0.2427 0.2427
La 0.4776 0.4776 0.4776
Mo 0.7579 0.7579 0.7579

Crystal system = trigonal
Formation enthalpy at 0 K = 67.40 kJ/mol of atoms
Symmetry = R3m
Total magnetic moment = 0.00 μB/atom
Relative energy among the computed polymorphs = 49.6 kJ/mol of formula units

(14)
Ba2LaMo | PBE | optimized geometry

abc: 3.8676 3.8676 10.2536
angles: 90.00 90.00 90.28
Positions (direct):
Ba 0.0000 0.0000 0.9267
Ba 0.5000 0.5000 0.2914
La 0.0000 0.0000 0.5776
Mo 0.5000 0.5000 0.7043

Crystal system = orthorhombic
Formation enthalpy at 0 K = 54.99 kJ/mol of atoms
Symmetry = Cmm2
Total magnetic moment = 0.17 μB/atom
Relative energy among the computed polymorphs = 0.0 kJ/mol of formula units

(15)
Ba2LaMo2 | PBE | optimized geometry

abc: 3.6204 3.6204 13.1132
angles: 82.07 82.07 90.00
Positions (direct):
Mo 0.7500 0.2500 0.5000
Mo 0.2500 0.7500 0.5000
Ba 0.3696 0.3696 0.2609
Ba 0.6304 0.6304 0.7391
La 0.0000 0.0000 0.0000

Crystal system = tetragonal
Formation enthalpy at 0 K = 69.59 kJ/mol of atoms
Symmetry = I4/mmm
Total magnetic moment = 0.00 μB/atom
Relative energy among the computed polymorphs = 0.0 kJ/mol of formula units

(16)
Ba2LaMo2 | PBE | optimized geometry

abc: 9.7007 9.7007 3.5079
angles: 90.00 90.00 90.00
Positions (direct):
Mo 0.0771 0.5771 0.5000
Mo 0.5771 0.9229 0.5000
Mo 0.9229 0.4229 0.5000
Mo 0.4229 0.0771 0.5000
Ba 0.2962 0.7962 0.0000
Ba 0.7962 0.7038 0.0000
Ba 0.7038 0.2038 0.0000
Ba 0.2038 0.2962 0.0000
La 0.0000 0.0000 0.0000
La 0.5000 0.5000 0.0000

Crystal system = tetragonal
Formation enthalpy at 0 K = 97.71 kJ/mol of atoms
Symmetry = P4/mbm
Total magnetic moment = 0.00 μB/atom
Relative energy among the computed polymorphs = 140.6 kJ/mol of formula units

(17)
Ba2LaMo | PBE | optimized geometry

abc: 7.3480 7.3480 7.3480
angles: 149.59 130.47 59.24
Positions (direct):
Ba 0.0482 0.0482 0.0000
Ba 0.7396 0.2396 0.5000
La 0.4223 0.4223 0.0000
Mo 0.2898 0.7898 0.5000

Crystal system = orthorhombic
Formation enthalpy at 0 K = 59.58 kJ/mol of atoms
Symmetry = Imm2
Total magnetic moment = 0.00 μB/atom
Relative energy among the computed polymorphs = 18.4 kJ/mol of formula units

(18)
Ba2LaMo | PBE | optimized geometry

abc: 6.8086 6.8086 6.8086
angles: 137.78 137.78 61.25
Positions (direct):
Ba 0.0000 0.0000 0.0000
Ba 0.5000 0.5000 0.0000
La 0.2500 0.7500 0.5000
Mo 0.7500 0.2500 0.5000

Crystal system = tetragonal
Formation enthalpy at 0 K = 86.83 kJ/mol of atoms
Symmetry = I4/mmm
Total magnetic moment = 0.53 μB/atom
Relative energy among the computed polymorphs = 127.3 kJ/mol of formula units

(19)
Ba2LaMo | PBE | optimized geometry

abc: 10.0149 10.0149 4.7084
angles: 76.42 76.42 20.62
Positions (direct):
Ba 0.9073 0.9073 0.0928
Ba 0.5927 0.5927 0.4072
La 0.7500 0.7500 0.7500
Mo 0.2500 0.2500 0.2500

Crystal system = orthorhombic
Formation enthalpy at 0 K = 59.63 kJ/mol of atoms
Symmetry = Immm
Total magnetic moment = 0.00 μB/atom
Relative energy among the computed polymorphs = 18.5 kJ/mol of formula units

(20)
BaLaMo3 | PBE | optimized geometry

abc: 5.0959 5.0959 5.0959
angles: 90.00 90.00 90.00
Positions (direct):
Mo 0.0000 0.5000 0.0000
Mo 0.0000 0.0000 0.5000
Mo 0.5000 0.0000 0.0000
Ba 0.0000 0.0000 0.0000
La 0.5000 0.5000 0.5000

Crystal system = cubic
Formation enthalpy at 0 K = 229.44 kJ/mol of atoms
Symmetry = Pm-3m
Total magnetic moment = 0.70 μB/atom

(21)
Ba2LaMo | PBE | optimized geometry

abc: 12.2415 12.2415 12.2415
angles: 17.51 17.51 17.51
Positions (direct):
Ba 0.0150 0.0150 0.0150
Ba 0.4850 0.4850 0.4850
La 0.2500 0.2500 0.2500
Mo 0.7500 0.7500 0.7500

Crystal system = trigonal
Formation enthalpy at 0 K = 93.03 kJ/mol of atoms
Symmetry = R-3m
Total magnetic moment = 0.47 μB/atom
Relative energy among the computed polymorphs = 152.2 kJ/mol of formula units

(22)
Ba2LaMo | PBE | optimized geometry

abc: 3.8092 3.8092 10.4510
angles: 90.00 90.00 90.09
Positions (direct):
Ba 0.0000 0.0000 0.9504
Ba 0.0000 0.0000 0.5496
La 0.5000 0.5000 0.2500
Mo 0.5000 0.5000 0.7500

Crystal system = orthorhombic
Formation enthalpy at 0 K = 86.64 kJ/mol of atoms
Symmetry = Cmmm
Total magnetic moment = 0.58 μB/atom
Relative energy among the computed polymorphs = 126.6 kJ/mol of formula units

(23)
Ba2LaMo | PBE | optimized geometry

abc: 5.0868 5.0868 8.4239
angles: 73.51 73.51 54.93
Positions (direct):
Ba 0.9540 0.9540 0.0964
Ba 0.7876 0.7876 0.6527
La 0.5597 0.5597 0.3764
Mo 0.1988 0.1988 0.3745

Crystal system = monoclinic
Formation enthalpy at 0 K = 57.46 kJ/mol of atoms
Symmetry = Cm
Total magnetic moment = 0.01 μB/atom
Relative energy among the computed polymorphs = 9.9 kJ/mol of formula units

(24)
Ba2LaMo | PBE | optimized geometry

abc: 5.9931 5.9931 5.9931
angles: 124.64 124.64 82.14
Positions (direct):
Ba 0.0000 0.0000 0.0000
Ba 0.2500 0.7500 0.5000
La 0.5000 0.5000 0.0000
Mo 0.7500 0.2500 0.5000

Crystal system = tetragonal
Formation enthalpy at 0 K = 83.03 kJ/mol of atoms
Symmetry = I-4m2
Total magnetic moment = 0.44 μB/atom
Relative energy among the computed polymorphs = 112.1 kJ/mol of formula units

(25)
BaLaMo | PBE | optimized geometry

abc: 5.1879 5.1879 3.9246
angles: 90.00 90.00 120.00
Positions (direct):
Ba 0.0000 0.0000 0.9998
La 0.6667 0.3333 0.4996
Mo 0.3333 0.6667 0.5006

Crystal system = hexagonal
Formation enthalpy at 0 K = 87.43 kJ/mol of atoms
Symmetry = P-6m2
Total magnetic moment = 0.39 μB/atom
Relative energy among the computed polymorphs = 57.6 kJ/mol of formula units

(26)
Ba2LaMo | PBE | optimized geometry

abc: 5.5596 3.9063 6.9495
angles: 69.77 90.00 90.00
Positions (direct):
Ba 0.0000 0.9043 0.9767
Ba 0.0000 0.5957 0.5233
La 0.5000 0.2500 0.2500
Mo 0.5000 0.7500 0.7500

Crystal system = monoclinic
Formation enthalpy at 0 K = 90.55 kJ/mol of atoms
Symmetry = P2/m
Total magnetic moment = 0.40 μB/atom
Relative energy among the computed polymorphs = 142.2 kJ/mol of formula units

(27)
BaLaMo | PBE | optimized geometry

abc: 7.3992 7.3923 3.7389
angles: 75.46 75.26 29.28
Positions (direct):
Ba 0.0229 0.0229 0.9771
La 0.2874 0.2874 0.7126
Mo 0.6898 0.6898 0.3102

Crystal system = orthorhombic
Formation enthalpy at 0 K = 68.23 kJ/mol of atoms
Symmetry = Fmm2
Total magnetic moment = 0.00 μB/atom
Relative energy among the computed polymorphs = 0.0 kJ/mol of formula units

(28)
Ba2LaMo | PBE | optimized geometry

abc: 6.3579 7.0250 3.7482
angles: 78.27 81.94 114.53
Positions (direct):
Ba 0.0000 0.0000 0.0000
Ba 0.5000 0.0000 0.5000
La 0.0000 0.5000 0.5000
Mo 0.5000 0.5000 0.0000

Crystal system = monoclinic
Formation enthalpy at 0 K = 97.30 kJ/mol of atoms
Symmetry = C2/m
Total magnetic moment = 0.62 μB/atom
Relative energy among the computed polymorphs = 169.2 kJ/mol of formula units